Entry 1:
Compound: Ho3Er3Pt2
Source: the Alexandria database
Functional: PBE-GGA
Structure: relaxed

Values from the calculation:
**Energy of formation from the pure elements**: -0.62 eV per atom

abc: 3.752 6.818 18.291
angles: 90.00 90.00 105.97
Fractional positions:
Ho1 0.942 0.884 0.414
Ho2 0.058 0.116 0.914
Ho3 0.942 0.884 0.086
Ho4 0.058 0.116 0.586
Ho5 0.719 0.437 0.250
Ho6 0.281 0.563 0.750
Er1 0.672 0.343 0.442
Er2 0.328 0.657 0.942
Er3 0.672 0.343 0.058
Er4 0.328 0.657 0.558
Er5 0.441 0.883 0.250
Er6 0.559 0.117 0.750
Pt1 0.707 0.414 0.864
Pt2 0.293 0.586 0.364
Pt3 0.707 0.414 0.636
Pt4 0.293 0.586 0.136

Entry 2:
Compound: Li2LaSn2
Source: the Alexandria database
Functional: PBE-GGA
Structure: relaxed

Values from the calculation:
**Offset from the most stable computed form**: 0.00 eV/f.u.
**Energy of formation from the pure elements**: -0.58 eV per atom

abc: 4.477 4.477 6.885
angles: 71.03 71.03 90.00
Fractional positions:
Li1 0.750 0.250 0.500
Li2 0.250 0.750 0.500
Sn1 0.384 0.384 0.232
Sn2 0.616 0.616 0.768
La1 0.000 0.000 0.000

Entry 3:
Compound: SbTe12Au7
Source: the Alexandria database
Functional: PBE-GGA
Structure: relaxed

Values from the calculation:
**Uncorrected formation energy**: 0.03 eV per atom

abc: 8.714 8.714 8.714
angles: 105.34 105.34 105.34
Fractional positions:
Sb1 0.000 0.000 0.000
Te1 0.044 0.325 0.763
Te2 0.675 0.237 0.956
Te3 0.459 0.150 0.362
Te4 0.850 0.638 0.541
Te5 0.237 0.956 0.675
Te6 0.638 0.541 0.850
Te7 0.362 0.459 0.150
Te8 0.763 0.044 0.325
Te9 0.150 0.362 0.459
Te10 0.541 0.850 0.638
Te11 0.325 0.763 0.044
Te12 0.956 0.675 0.237
Au1 0.978 0.644 0.891
Au2 0.356 0.109 0.022
Au3 0.109 0.022 0.356
Au4 0.500 0.500 0.500
Au5 0.891 0.978 0.644
Au6 0.644 0.891 0.978
Au7 0.022 0.356 0.109

Entry 4:
Compound: CsNaBiTe3
Source: the Alexandria database
Functional: PBE-GGA
Structure: relaxed

Values from the calculation:
**Uncorrected formation energy**: -0.54 eV per atom

abc: 8.302 7.795 9.233
angles: 114.97 90.00 90.00
Fractional positions:
Cs1 0.750 0.292 0.585
Cs2 0.250 0.708 0.415
Na1 0.250 0.397 0.794
Na2 0.750 0.603 0.206
Bi1 0.250 0.046 0.092
Bi2 0.750 0.954 0.908
Te1 0.250 0.216 0.433
Te2 0.000 0.289 0.000
Te3 0.500 0.711 0.000
Te4 0.500 0.289 0.000
Te5 0.000 0.711 0.000
Te6 0.750 0.784 0.567

Entry 5:
Compound: PmZnCuPd
Source: the Alexandria database
Functional: PBE-GGA
Structure: relaxed

Values from the calculation:
**Offset from the most stable computed form**: 0.00 eV/f.u.
**Energy of formation from the pure elements**: -0.48 eV per atom

abc: 4.391 4.382 5.314
angles: 114.47 90.00 120.07
Fractional positions:
Pm1 0.617 0.233 0.492
Zn1 0.113 0.226 0.981
Cu1 0.409 0.819 0.871
Pd1 0.827 0.654 0.123

Entry 6:
Compound: Mn2HgPd
Source: the Alexandria database
Functional: PBE-GGA
Structure: relaxed

Values from the calculation:
**Energy of formation from the pure elements**: 0.08 eV per atom

abc: 3.131 3.131 6.908
angles: 90.00 90.00 90.00
Each line ends with the local moment (μB).
Fractional positions:
Mn1 0.000 0.000 0.775  3.93
Mn2 0.000 0.000 0.225  3.93
Hg1 0.500 0.500 0.500  -0.05
Pd1 0.500 0.500 0.000  0.35

Entry 7:
Compound: TbPm5Sb4
Source: the Alexandria database
Functional: PBE-GGA
Structure: relaxed

Values from the calculation:
**Uncorrected formation energy**: -0.79 eV per atom

abc: 4.387 8.630 9.782
angles: 104.81 102.96 90.00
Fractional positions:
Tb1 0.500 0.000 0.000
Pm1 0.826 0.652 0.652
Pm2 0.836 0.172 0.671
Pm3 0.164 0.828 0.329
Pm4 0.500 0.500 0.000
Pm5 0.174 0.348 0.348
Sb1 0.332 0.912 0.664
Sb2 0.994 0.748 0.988
Sb3 0.668 0.088 0.336
Sb4 0.006 0.252 0.012

Entry 8:
Compound: TbYSiGe
Source: the Alexandria database
Functional: PBE-GGA
Structure: relaxed

Values from the calculation:
**Uncorrected formation energy**: -0.85 eV per atom

abc: 4.302 3.913 5.749
angles: 90.00 111.97 90.00
Fractional positions:
Tb1 0.139 0.000 0.277
Y1 0.860 0.500 0.720
Si1 0.581 0.500 0.162
Ge1 0.420 0.000 0.840

Entry 9:
Compound: CaGePd3
Source: the Alexandria database
Functional: PBE-GGA
Structure: relaxed

Values from the calculation:
**Offset from the most stable computed form**: 0.12 eV/f.u.
**Energy of formation from the pure elements**: -0.60 eV per atom

abc: 5.555 8.589 6.466
angles: 131.62 115.44 90.00
Fractional positions:
Ca1 0.250 0.250 0.500
Ca2 0.750 0.750 0.500
Ge1 0.000 0.500 0.000
Ge2 0.500 0.000 0.000
Pd1 0.798 0.298 0.096
Pd2 0.298 0.298 0.096
Pd3 0.702 0.702 0.904
Pd4 0.202 0.702 0.904
Pd5 0.250 0.916 0.500
Pd6 0.750 0.084 0.500

Entry 10:
Compound: Sm3Y2Os2
Source: the Alexandria database
Functional: PBE-GGA
Structure: relaxed

Values from the calculation:
**Energy of formation from the pure elements**: -0.17 eV per atom

abc: 4.013 6.379 8.512
angles: 104.06 103.68 108.32
Fractional positions:
Sm1 0.500 0.000 0.000
Sm2 0.192 0.815 0.569
Sm3 0.808 0.185 0.431
Y1 0.650 0.482 0.818
Y2 0.350 0.518 0.182
Os1 0.037 0.858 0.216
Os2 0.963 0.142 0.784

Entry 11:
Compound: Pa2HgSb4
Source: the Alexandria database
Functional: PBE-GGA
Structure: relaxed

Values from the calculation:
**Uncorrected formation energy**: -0.33 eV per atom

abc: 4.349 4.349 10.289
angles: 90.00 90.00 90.00
Fractional positions:
Pa1 0.500 0.000 0.733
Pa2 0.000 0.500 0.267
Hg1 0.500 0.500 0.000
Sb1 0.500 0.000 0.203
Sb2 0.000 0.500 0.797
Sb3 0.500 0.500 0.500
Sb4 0.000 0.000 0.500

Entry 12:
Compound: DyTmAgPt
Source: the Alexandria database
Functional: PBE-GGA
Structure: relaxed

Values from the calculation:
**Energy of formation from the pure elements**: -0.81 eV per atom

abc: 4.988 4.988 4.988
angles: 60.00 60.00 60.00
Fractional positions:
Tm1 0.000 0.000 0.000
Ag1 0.250 0.250 0.250
Pt1 0.750 0.750 0.750
Dy1 0.500 0.500 0.500

What is the formula in the eleventh record?
Pa2HgSb4